Record 1
MgNiPb4 | PBE | optimized geometry

Output
**Energy relative to the elements**: 3.52 eV/f.u.

a b c (Å): 8.9876 8.9876 8.9876
angles (deg): 90.00 90.00 90.00
Space group F-43m (No. 216)
Inequivalent atoms, fractional coordinates:
Mg1 0.0000 0.0000 0.0000
Ni1 0.2500 0.2500 0.7500
Pb1 0.1246 0.1246 0.3754

Record 2
MgNi3Pb | PBE | optimized geometry

Output
**Energy relative to the elements**: 4.30 eV/f.u.
**Offset from the most stable computed form**: 0.0000 eV per atom

a b c (Å): 4.4497 4.4497 4.4497
angles (deg): 90.00 90.00 90.00
Space group Pm-3m (No. 221)
Inequivalent atoms, fractional coordinates:
Mg1 0.0000 0.0000 0.0000
Ni1 0.0000 0.0000 0.5000
Pb1 0.5000 0.5000 0.5000

no.,V (Å³/cell),N(E_F) (states/eV per atom),calculated total energy (Ha/atom)
1,725.98,0.784,-0.11448
2,88.11,1.111,-0.13487